Entry 1:
The following is a PBE calculation of an optimized crystal structure of ZnHg, from Alexandria.

abc: 4.171 3.607 5.596
angles: 90.00 98.67 90.00
Space group P2_1/m (No. 11)
Asymmetric unit:
Zn  0.186  0.250  0.152 x2
Hg  0.287  0.250  0.670 x2

Calculated total energy in eV/atom: -0.682
Volume in Å³ per atom: 20.81
ρ in g/cm3: 10.6
DOS at the Fermi energy in states/eV/cell: 1.359

=====

Entry 2:
The following is a PBE calculation of an optimized crystal structure of Zn5Hg, from Alexandria.

abc: 13.476 2.690 6.767
angles: 90.00 119.54 90.00
Space group Cm (No. 8)
Asymmetric unit:
Zn  0.000  0.000  0.000 x2
Zn  0.022  0.000  0.578 x2
Zn  0.119  0.500  0.383 x2
Zn  0.170  0.500  0.967 x2
Zn  0.367  0.000  0.149 x2
Hg  0.329  0.000  0.586 x2

Calculated total energy in eV/atom: -1.038
Volume in Å³ per atom: 17.79
ρ in g/cm3: 8.2
DOS at the Fermi energy in states/eV/cell: 1.545

=====

Entry 3:
The following is a PBE calculation of an optimized crystal structure of Zn3Hg, from Alexandria.

abc: 10.303 2.858 4.912
angles: 90.00 90.00 90.00
Space group Amm2 (No. 38)
Asymmetric unit:
Zn  0.000  0.000  0.000 x2
Zn  0.226  0.000  0.669 x4
Hg  0.500  0.000  0.979 x2

Calculated total energy in eV/atom: -0.887
Volume in Å³ per atom: 18.08
ρ in g/cm3: 9.1
DOS at the Fermi energy in states/eV/cell: 1.133

=====

- What is the calculated total energy in the third record?
  -0.887 eV/atom